1.
The following is a PBE calculation of a relaxed structure of HgH3Se, from Alexandria via LeMat-Bulk.

Output
Uncorrected energy, eV for the cell shown: -9.27

Geometry as extended XYZ:
```
5
Lattice="3.911 0.000 0.000 0.000 3.911 0.000 0.000 0.000 3.911" Properties=species:S:1:pos:R:3 pbc="T T T"
Hg 0.000 0.000 0.000
H 0.000 0.000 1.956
H 0.000 1.956 0.000
H 1.956 0.000 0.000
Se 1.956 1.956 1.956
```

---

2.
The following is a PBE calculation of a relaxed structure of YHg2Rh, from Alexandria via LeMat-Bulk.

Output
Formation enthalpy at 0 K, eV per atom: -0.3293
Uncorrected energy, eV for the cell shown: -15.74

Geometry as extended XYZ:
```
4
Lattice="3.449 0.000 0.000 0.000 3.449 0.000 0.000 0.000 7.353" Properties=species:S:1:pos:R:3 pbc="T T T"
Y 0.000 0.000 0.000
Hg 0.000 0.000 4.172
Hg 1.724 1.724 2.186
Rh 1.724 1.724 5.823
```

---

3.
The following is a PBE calculation of a relaxed structure of KTlHgPb2, from Alexandria via LeMat-Bulk.

Output
Formation enthalpy at 0 K, eV per atom: 0.2071
Uncorrected energy, eV for the cell shown: -10.15

Geometry as extended XYZ:
```
5
Lattice="5.814 0.000 0.000 0.000 5.814 0.000 0.000 0.000 6.118" Properties=species:S:1:pos:R:3 pbc="T T T"
K 0.000 0.000 0.000
Tl 2.907 2.907 0.000
Hg 0.000 0.000 3.059
Pb 0.000 2.907 3.059
Pb 2.907 0.000 3.059
```

---

no.,N(E_F) (states/eV/atom)
1,0.52
2,0.48
3,0.67